Entry 1:
The following is a DFT calculation (PBE-GGA) of crystalline Pm2HfZn at its relaxed geometry.

Calculated values
Crystal system: trigonal
Excess energy over the best structure of this formula in the dataset: 1.53 eV/f.u.
SG: No. 166
Calculated formation energy: 0.355 eV/atom

a b c (Å): 3.2763 3.2763 11.6369
angles (deg): 81.91 81.91 60.00
Fractional positions:
Zn 0.5000 0.5000 0.5000
Pm 0.9058 0.9058 0.2826
Hf 0.0000 0.0000 0.0000
Pm 0.0942 0.0942 0.7174

---

Entry 2:
The following is a DFT calculation (PBE-GGA) of crystalline Na3Np3TcS8 at its relaxed geometry.

Calculated values
Raw formation energy: -1.165 eV/atom
Crystal system: trigonal
SG: No. 166

a b c (Å): 7.5885 7.5912 8.1841
angles (deg): 117.67 90.00 119.99
Site moments in Bohr magnetons follow the coordinates.
Fractional positions:
Na 0.0000 0.5000 0.0000  0.00
S 0.2260 0.9875 0.7134  -0.09
S 0.7740 0.5479 0.2865  -0.09
S 0.2385 0.0125 0.2866  -0.09
S 0.7443 0.4885 0.7328  -0.09
Na 0.5000 0.5000 0.0000  0.00
Np 0.5000 0.5000 0.5000  3.53
S 0.7740 0.0125 0.2866  -0.09
Np 0.0000 0.5000 0.5000  3.53
S 0.2557 0.5115 0.2672  -0.09
Na 0.0000 0.0000 0.0000  0.00
Tc 0.0000 0.0000 0.5000  -1.20
S 0.7615 0.9875 0.7134  -0.09
S 0.2260 0.4521 0.7135  -0.09
Np 0.5000 0.0000 0.5000  3.53

---

Entry 3:
The following is a DFT calculation (PBE-GGA) of crystalline La2Pr3Si4 at its relaxed geometry.

Calculated values
Raw formation energy: -0.679 eV/atom
Crystal system: monoclinic
SG: No. 14

a b c (Å): 7.9141 7.9700 8.0309
angles (deg): 90.00 90.00 104.93
Fractional positions:
Pr 0.5000 0.5000 0.0000
Pr 0.0000 0.5000 0.5000
La 0.9009 0.7938 0.8152
Si 0.1079 0.9171 0.4759
Pr 0.7444 0.7601 0.3169
Pr 0.2444 0.7601 0.1831
Si 0.3854 0.4943 0.3865
La 0.0991 0.2062 0.1848
Pr 0.2556 0.2399 0.6831
Si 0.3921 0.0829 0.9759
La 0.4009 0.7938 0.6848
La 0.5991 0.2062 0.3152
Si 0.6146 0.5057 0.6135
Si 0.8921 0.0829 0.5241
Pr 0.7556 0.2399 0.8169
Si 0.1146 0.5057 0.8865
Si 0.8854 0.4943 0.1135
Si 0.6079 0.9171 0.0241

---

| no. | E (eV per atom) |
| --- | --- |
| 1 | -4.83 |
| 2 | -6.91 |
| 3 | -5.78 |